Entry 1:
## CoSi2Ru (GGA-PBEsol)

Data for a relaxed CoSi2Ru crystal.

Values from the calculation:
VASP energy   -0.2922 Ha/atom
Total magnetization   0.00 Bohr magnetons per cell

```
data_CoSi2Ru
_space_group_name_H-M_alt 'P 1'
_space_group_IT_number 1
_cell_length_a 2.8749
_cell_length_b 2.8749
_cell_length_c 5.5096
_cell_angle_alpha 90.00
_cell_angle_beta 90.00
_cell_angle_gamma 89.99
loop_
_space_group_symop_operation_xyz
'x,y,z'
loop_
_atom_site_label
_atom_site_type_symbol
_atom_site_fract_x
_atom_site_fract_y
_atom_site_fract_z
Si1 Si 0.0000 0.0000 0.2665
Si2 Si 0.0000 0.0000 0.7335
Co1 Co 0.5000 0.5000 0.5000
Ru1 Ru 0.5000 0.5000 0.0000
```

Entry 2:
## YAlPt4 (GGA-PBEsol)

Data for a relaxed YAlPt4 crystal.

Values from the calculation:
E_form   -0.778 eV/atom
VASP energy   -0.2660 Ha/atom
Total magnetization   0.00 Bohr magnetons per cell

```
data_YAlPt4
_space_group_name_H-M_alt 'P 1'
_space_group_IT_number 1
_cell_length_a 5.2771
_cell_length_b 5.2771
_cell_length_c 5.2771
_cell_angle_alpha 60.00
_cell_angle_beta 60.00
_cell_angle_gamma 60.00
loop_
_space_group_symop_operation_xyz
'x,y,z'
loop_
_atom_site_label
_atom_site_type_symbol
_atom_site_fract_x
_atom_site_fract_y
_atom_site_fract_z
Al1 Al 0.0000 0.0000 0.0000
Pt1 Pt 0.3744 0.3744 0.3744
Pt2 Pt 0.3744 0.8767 0.3744
Pt3 Pt 0.8767 0.3744 0.3744
Pt4 Pt 0.3744 0.3744 0.8767
Y1 Y 0.7500 0.7500 0.7500
```

Entry 3:
## YMn2NiOs (GGA-PBEsol)

Data for a relaxed YMn2NiOs crystal.

Values from the calculation:
E_form   1.047 eV/atom
VASP energy   -0.2902 Ha/atom
Total magnetization   7.89 Bohr magnetons per cell

```
data_YMn2NiOs
_space_group_name_H-M_alt 'P 1'
_space_group_IT_number 1
_cell_length_a 4.3314
_cell_length_b 4.3314
_cell_length_c 4.7727
_cell_angle_alpha 90.00
_cell_angle_beta 90.00
_cell_angle_gamma 90.00
loop_
_space_group_symop_operation_xyz
'x,y,z'
loop_
_atom_site_label
_atom_site_type_symbol
_atom_site_fract_x
_atom_site_fract_y
_atom_site_fract_z
Mn1 Mn 0.0000 0.5000 0.0000
Mn2 Mn 0.5000 0.0000 0.0000
Os1 Os 0.5000 0.5000 0.5000
Y1 Y 0.0000 0.0000 0.5000
Ni1 Ni 0.0000 0.0000 0.0000
```

Which of these has the highest total magnetization? YMn2NiOs

Copy entry 2 word for word.
## YAlPt4 (GGA-PBEsol)

Data for a relaxed YAlPt4 crystal.

Values from the calculation:
E_form   -0.778 eV/atom
VASP energy   -0.2660 Ha/atom
Total magnetization   0.00 Bohr magnetons per cell

```
data_YAlPt4
_space_group_name_H-M_alt 'P 1'
_space_group_IT_number 1
_cell_length_a 5.2771
_cell_length_b 5.2771
_cell_length_c 5.2771
_cell_angle_alpha 60.00
_cell_angle_beta 60.00
_cell_angle_gamma 60.00
loop_
_space_group_symop_operation_xyz
'x,y,z'
loop_
_atom_site_label
_atom_site_type_symbol
_atom_site_fract_x
_atom_site_fract_y
_atom_site_fract_z
Al1 Al 0.0000 0.0000 0.0000
Pt1 Pt 0.3744 0.3744 0.3744
Pt2 Pt 0.3744 0.8767 0.3744
Pt3 Pt 0.8767 0.3744 0.3744
Pt4 Pt 0.3744 0.3744 0.8767
Y1 Y 0.7500 0.7500 0.7500
```

total magnetization of number 2 (YAlPt4)? 0.00 Bohr magnetons per cell